# 1
CaRe2Pt | PBE | optimized geometry

The space group is I-4m2 (No. 119) and the conventional cell measures 4.575, 4.575 and 6.443 Å, with angles of 90.00, 90.00 and 90.00 degrees. The asymmetric unit holds Ca at (0.000, 0.000, 0.000), Re at (0.000, 0.000, 0.500), Re at (0.000, 0.500, 0.750) and Pt at (0.000, 0.500, 0.250).

The value obtained for the total energy is -7.85 eV per atom. For the formation enthalpy at 0 K, the calculation gives 0.388 eV per atom. The theoretical density is 15.0 g/cm3.

---

# 2
KLaCdF6 | PBE | optimized geometry

The space group is P-31c (No. 163) and the conventional cell measures 6.3221, 6.3221 and 10.2476 Å, with angles of 90.00, 90.00 and 120.00 degrees. The asymmetric unit holds K at (0.0000, 0.0000, 0.0000), La at (0.3333, 0.6667, 0.2500), Cd at (0.3333, 0.6667, 0.7500) and F at (0.0080, 0.3691, 0.6390).

The value obtained for the total energy is -5.17 eV per atom. The theoretical density is 3.8 g/cm3. As for the uncorrected formation energy: -3155 meV per atom.

---

# 3
Na2TlBr6 | PBE | optimized geometry

The space group is P2_1/c (No. 14) and the conventional cell measures 7.463, 7.863 and 11.880 Å, with angles of 90.00, 124.32 and 90.00 degrees. The asymmetric unit holds Na at (0.189, 0.106, 0.219), Tl at (0.500, 0.000, 0.000), Br at (0.127, 0.191, 0.927), Br at (0.245, 0.699, 0.920) and Br at (0.416, 0.058, 0.748).

The value obtained for the total energy is -2.46 eV per atom. The theoretical density is 4.2 g/cm3. As for the uncorrected formation energy: -790 meV per atom.